DFT (PBE-GGA) results for a relaxed BaSr5 crystal.

```
BaSr5
1.0
7.9358 0.0000 0.0000
3.9679 6.8726 0.0000
3.9679 2.2909 6.4795
Sr Ba
5 1
Direct
0.3752 0.3752 0.3752
0.3752 0.3752 0.8744
0.3752 0.8744 0.3752
0.8744 0.3752 0.3752
0.7500 0.7500 0.7500
0.0000 0.0000 0.0000
```

Output
Density: 2704 kg/m3
Size of the total moment: 0.0 μB per formula unit
E_form: 0.060 eV per atom